Record 1
Density functional theory data (PBE-GGA) for Ho2ScNi9 after structural relaxation.

energy of formation	-4.79	eV per formula unit
magnetic moment	1.10	μB/f.u.
theoretical density	8.92	Mg/m³
DFT total energy	-216.92	eV for the cell shown

CIF file:
```
data_Ho2ScNi9
_chemical_formula_sum 'Ho6 Sc3 Ni27'
_cell_length_a 4.8970
_cell_length_b 4.8970
_cell_length_c 24.2710
_cell_angle_alpha 90.00
_cell_angle_beta 90.00
_cell_angle_gamma 120.00
_symmetry_space_group_name_H-M 'R -3 m'
_symmetry_Int_Tables_number 166
_symmetry_space_group_name_Hall '-R 3 2"'
loop_
_atom_site_label
_atom_site_type_symbol
_atom_site_fract_x
_atom_site_fract_y
_atom_site_fract_z
Ho1 Ho 0.0000 0.0000 0.1375
Sc1 Sc 0.0000 0.0000 0.0000
Ni1 Ni 0.0000 0.0000 0.3332
Ni2 Ni 0.0000 0.0000 0.5000
Ni3 Ni 0.0011 0.5005 0.9186
```

***

Record 2
Density functional theory data (PBE-GGA) for Sm2Tm5Sn4 after structural relaxation.

energy of formation	-3.49	eV per formula unit
magnetic moment	0.00	μB/f.u.
theoretical density	7.93	Mg/m³
DFT total energy	-102.60	eV for the cell shown

CIF file:
```
data_Sm2Tm5Sn4
_chemical_formula_sum 'Sm4 Tm10 Sn8'
_cell_length_a 20.098
_cell_length_b 5.009
_cell_length_c 6.766
_cell_angle_alpha 90.00
_cell_angle_beta 94.65
_cell_angle_gamma 90.00
_symmetry_space_group_name_H-M 'C 1 2/m 1'
_symmetry_Int_Tables_number 12
loop_
_symmetry_equiv_pos_as_xyz
'x,y,z'
'-x,-y,-z'
'-x,y,-z'
'x,-y,z'
'x+1/2,y+1/2,z'
'-x+1/2,-y+1/2,-z'
'-x+1/2,y+1/2,-z'
'x+1/2,-y+1/2,z'
loop_
_atom_site_label
_atom_site_type_symbol
_atom_site_fract_x
_atom_site_fract_y
_atom_site_fract_z
Sm1 Sm 0.218 0.000 0.311
Tm1 Tm 0.000 0.000 0.500
Tm2 Tm 0.119 0.500 0.534
Tm3 Tm 0.139 0.500 0.023
Sn1 Sn 0.002 0.500 0.215
Sn2 Sn 0.182 0.000 0.784
```

***

Record 3
Density functional theory data (PBE-GGA) for Pr2MgZn4Ge3 after structural relaxation.

energy of formation	-4.16	eV per formula unit
magnetic moment	0.00	μB/f.u.
theoretical density	6.51	Mg/m³
DFT total energy	-34.26	eV for the cell shown

CIF file:
```
data_Pr2MgZn4Ge3
_chemical_formula_sum 'Pr2 Mg1 Zn4 Ge3'
_cell_length_a 4.251
_cell_length_b 4.251
_cell_length_c 11.087
_cell_angle_alpha 90.00
_cell_angle_beta 90.00
_cell_angle_gamma 90.00
_symmetry_space_group_name_H-M 'P -4 m 2'
_symmetry_Int_Tables_number 115
loop_
_symmetry_equiv_pos_as_xyz
'x,y,z'
'y,-x,-z'
'-x,-y,z'
'-y,x,-z'
'-x,y,z'
'-y,-x,-z'
'x,-y,z'
'y,x,-z'
loop_
_atom_site_label
_atom_site_type_symbol
_atom_site_fract_x
_atom_site_fract_y
_atom_site_fract_z
Pr1 Pr 0.000 0.500 0.243
Mg1 Mg 0.000 0.000 0.500
Zn1 Zn 0.000 0.000 0.000
Zn2 Zn 0.000 0.500 0.641
Zn3 Zn 0.500 0.500 0.000
Ge1 Ge 0.000 0.500 0.864
Ge2 Ge 0.500 0.500 0.500
```

***

Record 4
Density functional theory data (PBE-GGA) for Sc2GePt after structural relaxation.

energy of formation	-4.23	eV per formula unit
magnetic moment	0.00	μB/f.u.
theoretical density	7.69	Mg/m³
DFT total energy	-55.11	eV for the cell shown

CIF file:
```
data_Sc2GePt
_chemical_formula_sum 'Sc4 Ge2 Pt2'
_cell_length_a 5.469
_cell_length_b 4.213
_cell_length_c 7.151
_cell_angle_alpha 90.00
_cell_angle_beta 110.47
_cell_angle_gamma 90.00
_symmetry_space_group_name_H-M 'P 1 21/m 1'
_symmetry_Int_Tables_number 11
loop_
_symmetry_equiv_pos_as_xyz
'x,y,z'
'-x,-y,-z'
'-x,y+1/2,-z'
'x,-y+1/2,z'
loop_
_atom_site_label
_atom_site_type_symbol
_atom_site_fract_x
_atom_site_fract_y
_atom_site_fract_z
Sc1 Sc 0.202 0.250 0.438
Sc2 Sc 0.229 0.250 0.914
Ge1 Ge 0.314 0.750 0.208
Pt1 Pt 0.351 0.750 0.707
```

***

Record 5
Density functional theory data (PBE-GGA) for In3ReNi after structural relaxation.

energy of formation	5.32	eV per formula unit
magnetic moment	0.00	μB/f.u.
theoretical density	7.05	Mg/m³
DFT total energy	-21.12	eV for the cell shown
excess energy over the best structure of this formula in the dataset	0.097	eV/atom

CIF file:
```
data_In3ReNi
_chemical_formula_sum 'In3 Re1 Ni1'
_cell_length_a 5.177
_cell_length_b 5.177
_cell_length_c 5.177
_cell_angle_alpha 90.00
_cell_angle_beta 90.00
_cell_angle_gamma 90.00
_symmetry_space_group_name_H-M 'P m -3 m'
_symmetry_Int_Tables_number 221
_symmetry_space_group_name_Hall '-P 4 2 3'
loop_
_atom_site_label
_atom_site_type_symbol
_atom_site_fract_x
_atom_site_fract_y
_atom_site_fract_z
In1 In 0.000 0.000 0.500
Re1 Re 0.000 0.000 0.000
Ni1 Ni 0.500 0.500 0.500
```

***

Record 6
Density functional theory data (PBE-GGA) for TbCeFeCu after structural relaxation.

energy of formation	0.08	eV per formula unit
magnetic moment	0.62	μB/f.u.
theoretical density	8.54	Mg/m³
DFT total energy	-92.19	eV for the cell shown

CIF file:
```
data_TbCeFeCu
_chemical_formula_sum 'Tb4 Ce4 Fe4 Cu4'
_cell_length_a 6.880
_cell_length_b 6.880
_cell_length_c 6.880
_cell_angle_alpha 90.00
_cell_angle_beta 90.00
_cell_angle_gamma 90.00
_symmetry_space_group_name_H-M 'F -4 3 m'
_symmetry_Int_Tables_number 216
_symmetry_space_group_name_Hall 'F -4 2 3'
loop_
_atom_site_label
_atom_site_type_symbol
_atom_site_fract_x
_atom_site_fract_y
_atom_site_fract_z
Tb1 Tb 0.000 0.000 0.000
Ce1 Ce 0.000 0.000 0.500
Fe1 Fe 0.250 0.250 0.750
Cu1 Cu 0.250 0.250 0.250
```